# KTi2FeO6

A relaxed structure of KTi2FeO6 (PBE+U, Alexandria).

Results
The value obtained for the electronic total energy is -7.7030 eV/atom. As for the spin magnetization: 5.0 μB per formula unit. The density of states at the Fermi level comes out at 0.000 states/eV/cell. As for the crystal system: monoclinic.

Lattice parameters (Å, degrees): 6.2892 7.4957 7.4957 102.63 76.15 76.15
Last column: nearest neighbours and their distance in Å.
Sites, in units of the cell vectors:
K: 0.2500 0.8951 0.1049  6 O 2.76-2.79
K: 0.7500 0.1049 0.8951  6 O 2.76-2.79
Ti: 0.3409 0.7209 0.5655  4 O 1.81-1.94
Ti: 0.1591 0.4345 0.2791  4 O 1.81-1.94
Ti: 0.6591 0.2791 0.4345  4 O 1.81-1.94
Ti: 0.8409 0.5655 0.7209  4 O 1.81-1.94
Fe: 0.2500 0.2023 0.7977  4 O 1.88-1.90
Fe: 0.7500 0.7977 0.2023  4 O 1.88-1.90
O: 0.2223 0.9505 0.7539  1 Ti 1.82, 1 Fe 1.90
O: 0.2777 0.2461 0.0495  1 Ti 1.82, 1 Fe 1.90
O: 0.7777 0.0495 0.2461  1 Ti 1.82, 1 Fe 1.90
O: 0.7223 0.7539 0.9505  1 Ti 1.82, 1 Fe 1.90
O: 0.4723 0.7925 0.3614  1 Ti 1.81, 1 Fe 1.88
O: 0.0277 0.6386 0.2075  1 Ti 1.81, 1 Fe 1.88
O: 0.5277 0.2075 0.6386  1 Ti 1.81, 1 Fe 1.88
O: 0.9723 0.3614 0.7925  1 Ti 1.81, 1 Fe 1.88
O: 0.0577 0.6563 0.5829  2 Ti 1.86-1.94
O: 0.4423 0.4171 0.3437  2 Ti 1.86-1.94
O: 0.9423 0.3437 0.4171  2 Ti 1.86-1.94
O: 0.5577 0.5829 0.6563  2 Ti 1.86-1.94